This record from the Alexandria database describes crystalline Mg2InCo at its relaxed geometry. The functional is GGA-PBE.

```
4
Lattice="3.090 0.000 0.000 0.000 4.377 0.000 -1.531 0.000 5.549" Properties=species:S:1:pos:R:3 pbc="T T T"
Mg 0.000 0.000 0.000
Mg 0.004 2.189 3.838
In 1.549 0.000 2.487
Co 1.546 2.189 1.021
```

Computed properties:
symmetry: Pm (6)
ΔH_f (0 K): 0.498 eV/f.u.
mass density: 4.919 g/cm³
size of the total moment: 1.06 μB per formula unit